DFT (PBE) results for a relaxed HoTmGaIr crystal.

Cell: 6.9446 6.9446 6.9446 Å, 90.00 90.00 90.00°
Last column: nearest neighbours and their distance in Å.
Space group F-43m (No. 216)
Inequivalent atoms, fractional coordinates:
1 Ho 0.0000 0.0000 0.0000 (multiplicity 4)  4 Ga 3.01, 4 Ir 3.01
2 Tm 0.0000 0.0000 0.5000 (multiplicity 4)  4 Ir 3.01, 4 Ga 3.01
3 Ga 0.2500 0.2500 0.7500 (multiplicity 4)  4 Tm 3.01, 4 Ho 3.01
4 Ir 0.2500 0.2500 0.2500 (multiplicity 4)  4 Ho 3.01, 4 Tm 3.01

Electronic total energy (eV per cell): -95.244
Energy of formation (eV/f.u.): -2.9
E above lowest polymorph (meV per atom): 49


DFT (PBE) results for a relaxed AcPmPRh crystal.

Cell: 7.3008 7.3008 7.3008 Å, 90.00 90.00 90.00°
Last column: nearest neighbours and their distance in Å.
Space group F-43m (No. 216)
Inequivalent atoms, fractional coordinates:
1 Ac 0.0000 0.0000 0.0000 (multiplicity 4)  4 Rh 3.16, 4 P 3.16
2 Pm 0.0000 0.0000 0.5000 (multiplicity 4)  4 Rh 3.16, 4 P 3.16
3 P 0.2500 0.2500 0.7500 (multiplicity 4)  4 Ac 3.16, 4 Pm 3.16
4 Rh 0.2500 0.2500 0.2500 (multiplicity 4)  4 Ac 3.16, 4 Pm 3.16

Electronic total energy (eV per cell): -98.321
Energy of formation (eV/f.u.): -3.0